(1)
Compound: GdTmH2Br4
Source: OQMD via LeMat-Bulk
Functional: PBE
Structure: relaxed

Calculated values
M_tot = 0.0002 μB/atom
Uncorrected energy = -34.6 eV/cell

```
data_GdTmH2Br4
_chemical_formula_sum 'Gd1 Tm1 H2 Br4'
_cell_length_a 3.8233
_cell_length_b 3.8233
_cell_length_c 14.7852
_cell_angle_alpha 90.00
_cell_angle_beta 90.00
_cell_angle_gamma 120.00
_space_group_name_H-M_alt 'P -6 m 2'
_space_group_IT_number 187
_space_group_name_Hall 'P -6 2'
loop_
_atom_site_label
_atom_site_type_symbol
_atom_site_fract_x
_atom_site_fract_y
_atom_site_fract_z
Gd1 Gd 0.0000 0.0000 0.0000
Tm1 Tm 0.0000 0.0000 0.5000
H1 H 0.3333 0.6667 0.0000
H2 H 0.6667 0.3333 0.5000
Br1 Br 0.3333 0.6667 0.3729
Br2 Br 0.6667 0.3333 0.1312
```



(2)
Compound: Rb2TmLuS4
Source: OQMD via LeMat-Bulk
Functional: PBE
Structure: relaxed

Calculated values
M_tot = 0.0000 μB/atom
Uncorrected energy = -42.2 eV/cell

```
data_Rb2TmLuS4
_chemical_formula_sum 'Rb2 Tm1 Lu1 S4'
_cell_length_a 3.9973
_cell_length_b 3.9973
_cell_length_c 15.3259
_cell_angle_alpha 90.00
_cell_angle_beta 90.00
_cell_angle_gamma 120.00
_space_group_name_H-M_alt 'P -3 m 1'
_space_group_IT_number 164
_space_group_name_Hall '-P 3 2"'
loop_
_atom_site_label
_atom_site_type_symbol
_atom_site_fract_x
_atom_site_fract_y
_atom_site_fract_z
Rb1 Rb 0.3333 0.6667 0.2501
Tm1 Tm 0.0000 0.0000 0.0000
Lu1 Lu 0.0000 0.0000 0.5000
S1 S 0.3333 0.6667 0.5944
S2 S 0.3333 0.6667 0.9044
```



(3)
Compound: MgNb2H4
Source: OQMD via LeMat-Bulk
Functional: PBE
Structure: relaxed

Calculated values
M_tot = 0.0014 μB/atom
Relative energy among the computed polymorphs = 0.000 eV per atom

```
data_MgNb2H4
_chemical_formula_sum 'Mg2 Nb4 H8'
_cell_length_a 5.121
_cell_length_b 3.376
_cell_length_c 7.733
_cell_angle_alpha 90.00
_cell_angle_beta 95.05
_cell_angle_gamma 90.00
_space_group_name_H-M_alt 'C 1 2/m 1'
_space_group_IT_number 12
loop_
_space_group_symop_operation_xyz
'x,y,z'
'-x,-y,-z'
'-x,y,-z'
'x,-y,z'
'x+1/2,y+1/2,z'
'-x+1/2,-y+1/2,-z'
'-x+1/2,y+1/2,-z'
'x+1/2,-y+1/2,z'
loop_
_atom_site_label
_atom_site_type_symbol
_atom_site_fract_x
_atom_site_fract_y
_atom_site_fract_z
Mg1 Mg 0.000 0.000 0.000
Nb1 Nb 0.225 0.500 0.351
H1 H 0.069 0.000 0.268
H2 H 0.172 0.500 0.100
```



(4)
Compound: ZrScHg2
Source: OQMD via LeMat-Bulk
Functional: PBE
Structure: relaxed

Calculated values
M_tot = 0.0283 μB/atom
Relative energy among the computed polymorphs = 0.114 eV per atom

```
data_ZrScHg2
_chemical_formula_sum 'Zr4 Sc4 Hg8'
_cell_length_a 5.093
_cell_length_b 6.078
_cell_length_c 11.383
_cell_angle_alpha 90.00
_cell_angle_beta 90.00
_cell_angle_gamma 90.00
_space_group_name_H-M_alt 'A m m 2'
_space_group_IT_number 38
loop_
_space_group_symop_operation_xyz
'x,y,z'
'-x,-y,z'
'-x,y,z'
'x,-y,z'
'x,y+1/2,z+1/2'
'-x,-y+1/2,z+1/2'
'-x,y+1/2,z+1/2'
'x,-y+1/2,z+1/2'
loop_
_atom_site_label
_atom_site_type_symbol
_atom_site_fract_x
_atom_site_fract_y
_atom_site_fract_z
Zr1 Zr 0.000 0.240 0.000
Sc1 Sc 0.000 0.000 0.742
Sc2 Sc 0.500 0.000 0.121
Hg1 Hg 0.000 0.000 0.253
Hg2 Hg 0.500 0.000 0.595
Hg3 Hg 0.500 0.240 0.859
```



(5)
Compound: SrPrAgTe2Se
Source: OQMD via LeMat-Bulk
Functional: PBE
Structure: relaxed

Calculated values
M_tot = 0.0004 μB/atom
Uncorrected energy = -108.0 eV/cell

```
data_SrPrAgTe2Se
_chemical_formula_sum 'Sr4 Pr4 Ag4 Te8 Se4'
_cell_length_a 4.442
_cell_length_b 14.710
_cell_length_c 11.151
_cell_angle_alpha 90.00
_cell_angle_beta 90.00
_cell_angle_gamma 90.00
_space_group_name_H-M_alt 'C m c m'
_space_group_IT_number 63
_space_group_name_Hall '-C 2c 2'
loop_
_atom_site_label
_atom_site_type_symbol
_atom_site_fract_x
_atom_site_fract_y
_atom_site_fract_z
Sr1 Sr 0.000 0.236 0.250
Pr1 Pr 0.000 0.500 0.000
Ag1 Ag 0.000 0.025 0.750
Te1 Te 0.000 0.150 0.561
Se1 Se 0.000 0.417 0.750
```



(6)
Compound: TbScNb2Ge2
Source: OQMD via LeMat-Bulk
Functional: PBE
Structure: relaxed

Calculated values
M_tot = 0.1794 μB/atom
Uncorrected energy = -44.2 eV/cell

```
data_TbScNb2Ge2
_chemical_formula_sum 'Tb1 Sc1 Nb2 Ge2'
_cell_length_a 3.987
_cell_length_b 3.987
_cell_length_c 7.705
_cell_angle_alpha 90.00
_cell_angle_beta 90.00
_cell_angle_gamma 90.00
_space_group_name_H-M_alt 'P 4 m m'
_space_group_IT_number 99
loop_
_space_group_symop_operation_xyz
'x,y,z'
'-y,x,z'
'-x,-y,z'
'y,-x,z'
'-x,y,z'
'y,x,z'
'x,-y,z'
'-y,-x,z'
loop_
_atom_site_label
_atom_site_type_symbol
_atom_site_fract_x
_atom_site_fract_y
_atom_site_fract_z
Tb1 Tb 0.000 0.000 0.000
Sc1 Sc 0.500 0.500 0.706
Nb1 Nb 0.000 0.500 0.363
Ge1 Ge 0.000 0.000 0.614
Ge2 Ge 0.500 0.500 0.109
```



(7)
Compound: NaZnCoMo
Source: OQMD via LeMat-Bulk
Functional: PBE
Structure: relaxed

Calculated values
M_tot = 0.0029 μB/atom
Relative energy among the computed polymorphs = 0.000 eV per atom

```
data_NaZnCoMo
_chemical_formula_sum 'Na4 Zn4 Co4 Mo4'
_cell_length_a 6.064
_cell_length_b 6.064
_cell_length_c 6.064
_cell_angle_alpha 90.00
_cell_angle_beta 90.00
_cell_angle_gamma 90.00
_space_group_name_H-M_alt 'F -4 3 m'
_space_group_IT_number 216
_space_group_name_Hall 'F -4 2 3'
loop_
_atom_site_label
_atom_site_type_symbol
_atom_site_fract_x
_atom_site_fract_y
_atom_site_fract_z
Na1 Na 0.000 0.000 0.000
Zn1 Zn 0.250 0.250 0.250
Co1 Co 0.000 0.000 0.500
Mo1 Mo 0.250 0.250 0.750
```



(8)
Compound: TbY2Sn5Pb2
Source: OQMD via LeMat-Bulk
Functional: PBE
Structure: relaxed

Calculated values
M_tot = 0.0003 μB/atom
Relative energy among the computed polymorphs = 0.000 eV per atom

```
data_TbY2Sn5Pb2
_chemical_formula_sum 'Tb2 Y4 Sn10 Pb4'
_cell_length_a 4.414
_cell_length_b 26.611
_cell_length_c 4.562
_cell_angle_alpha 90.00
_cell_angle_beta 90.00
_cell_angle_gamma 90.00
_space_group_name_H-M_alt 'C m m m'
_space_group_IT_number 65
_space_group_name_Hall '-C 2 2'
loop_
_atom_site_label
_atom_site_type_symbol
_atom_site_fract_x
_atom_site_fract_y
_atom_site_fract_z
Tb1 Tb 0.000 0.000 0.000
Y1 Y 0.000 0.309 0.500
Sn1 Sn 0.000 0.096 0.500
Sn2 Sn 0.000 0.211 0.000
Sn3 Sn 0.000 0.500 0.500
Pb1 Pb 0.000 0.402 0.000
```



(9)
Compound: Cd2InCu3
Source: OQMD via LeMat-Bulk
Functional: PBE
Structure: relaxed

Calculated values
Uncorrected energy = -62.7 eV/cell

```
data_Cd2InCu3
_chemical_formula_sum 'Cd8 In4 Cu12'
_cell_length_a 7.344
_cell_length_b 7.344
_cell_length_c 7.344
_cell_angle_alpha 90.00
_cell_angle_beta 90.00
_cell_angle_gamma 90.00
_space_group_name_H-M_alt 'P 41 3 2'
_space_group_IT_number 213
_space_group_name_Hall 'P 4bd 2ab 3'
loop_
_atom_site_label
_atom_site_type_symbol
_atom_site_fract_x
_atom_site_fract_y
_atom_site_fract_z
Cd1 Cd 0.009 0.009 0.009
In1 In 0.125 0.625 0.875
Cu1 Cu 0.114 0.364 0.125
```



(10)
Compound: HfCoRePb
Source: OQMD via LeMat-Bulk
Functional: PBE
Structure: relaxed

Calculated values
M_tot = 0.0114 μB/atom
Relative energy among the computed polymorphs = 0.000 eV per atom

```
data_HfCoRePb
_chemical_formula_sum 'Hf4 Co4 Re4 Pb4'
_cell_length_a 6.495
_cell_length_b 6.495
_cell_length_c 6.495
_cell_angle_alpha 90.00
_cell_angle_beta 90.00
_cell_angle_gamma 90.00
_space_group_name_H-M_alt 'F -4 3 m'
_space_group_IT_number 216
_space_group_name_Hall 'F -4 2 3'
loop_
_atom_site_label
_atom_site_type_symbol
_atom_site_fract_x
_atom_site_fract_y
_atom_site_fract_z
Hf1 Hf 0.000 0.000 0.000
Co1 Co 0.250 0.250 0.750
Re1 Re 0.250 0.250 0.250
Pb1 Pb 0.000 0.000 0.500
```



(11)
Compound: LuScHg2
Source: OQMD via LeMat-Bulk
Functional: PBE
Structure: relaxed

Calculated values
M_tot = 0.3444 μB/atom
Uncorrected energy = -46.1 eV/cell

```
data_LuScHg2
_chemical_formula_sum 'Lu4 Sc4 Hg8'
_cell_length_a 7.136
_cell_length_b 7.136
_cell_length_c 7.136
_cell_angle_alpha 90.00
_cell_angle_beta 90.00
_cell_angle_gamma 90.00
_space_group_name_H-M_alt 'F -4 3 m'
_space_group_IT_number 216
_space_group_name_Hall 'F -4 2 3'
loop_
_atom_site_label
_atom_site_type_symbol
_atom_site_fract_x
_atom_site_fract_y
_atom_site_fract_z
Lu1 Lu 0.000 0.000 0.000
Sc1 Sc 0.250 0.250 0.750
Hg1 Hg 0.000 0.000 0.500
Hg2 Hg 0.250 0.250 0.250
```



(12)
Compound: GdIn4Pd
Source: OQMD via LeMat-Bulk
Functional: PBE
Structure: relaxed

Calculated values
M_tot = 0.0007 μB/atom
Uncorrected energy = -93.9 eV/cell

```
data_GdIn4Pd
_chemical_formula_sum 'Gd4 In16 Pd4'
_cell_length_a 4.530
_cell_length_b 16.809
_cell_length_c 7.469
_cell_angle_alpha 90.00
_cell_angle_beta 90.00
_cell_angle_gamma 90.00
_space_group_name_H-M_alt 'C m c m'
_space_group_IT_number 63
_space_group_name_Hall '-C 2c 2'
loop_
_atom_site_label
_atom_site_type_symbol
_atom_site_fract_x
_atom_site_fract_y
_atom_site_fract_z
Gd1 Gd 0.000 0.124 0.250
In1 In 0.000 0.065 0.750
In2 In 0.000 0.318 0.047
In3 In 0.000 0.500 0.000
Pd1 Pd 0.000 0.225 0.750
```